The following is a DFT calculation (PBE) of an optimized crystal structure of AgGe2Au.

## Properties
Calculated density   9.96 g/cm3
E_tot   -3.608 eV/atom

Unit cell a=6.6957 b=6.6957 c=6.6957 alpha=90.00 beta=90.00 gamma=90.00
With the nearest neighbours (Å) after each atom.
Space group F-43m (No. 216)
One atom of each set of equivalent atoms:
Ag 0.0000 0.0000 0.0000  4 Ge 2.90, 4 Au 2.90
Ge 0.0000 0.0000 0.5000  4 Au 2.90, 4 Ge 2.90
Ge 0.2500 0.2500 0.7500  4 Ge 2.90, 4 Ag 2.90
Au 0.2500 0.2500 0.2500  4 Ge 2.90, 4 Ag 2.90

=====

The following is a DFT calculation (PBE) of an optimized crystal structure of La2AgGe2Au.

## Properties
Calculated density   8.31 g/cm3
E_tot   -4.958 eV/atom
Energy above the lowest structure with this stoichiometry   9.7 meV per atom
Size of the total moment   0.00 μB per formula unit

Unit cell a=4.5465 b=4.5465 c=8.1237 alpha=90.00 beta=90.00 gamma=120.00
With the nearest neighbours (Å) after each atom.
Space group P-6m2 (No. 187)
One atom of each set of equivalent atoms:
La 0.0000 0.0000 0.2490  6 Ge 3.31-3.32, 3 Au 3.31, 3 Ag 3.32
Ag 0.6667 0.3333 0.5000  3 Ge 2.62
Ge 0.3333 0.6667 0.5000  3 Ag 2.62
Ge 0.6667 0.3333 0.0000  3 Au 2.62
Au 0.3333 0.6667 0.0000  3 Ge 2.62

=====

The following is a DFT calculation (PBE) of an optimized crystal structure of La2AgGe2Au.

## Properties
Calculated density   8.37 g/cm3
E_tot   -4.968 eV/atom
Energy above the lowest structure with this stoichiometry   0.0 meV per atom
Size of the total moment   0.00 μB per formula unit

Unit cell a=4.5727 b=4.5727 c=7.9778 alpha=90.00 beta=90.00 gamma=120.00
With the nearest neighbours (Å) after each atom.
Space group P3m1 (No. 156)
One atom of each set of equivalent atoms:
La 0.0000 0.0000 0.0000  6 Ge 3.16-3.47, 3 Au 3.24, 3 Ag 3.38
La 0.0000 0.0000 0.4972  6 Ge 3.14-3.48, 3 Ag 3.25, 3 Au 3.37
Ag 0.3333 0.6667 0.7351  3 Ge 2.67
Ge 0.3333 0.6667 0.2831  3 Au 2.67
Ge 0.6667 0.3333 0.7817  3 Ag 2.67
Au 0.6667 0.3333 0.2355  3 Ge 2.67

=====

The following is a DFT calculation (PBE) of an optimized crystal structure of LiAgGeAu.

## Properties
Calculated density   9.38 g/cm3
E_tot   -3.360 eV/atom
Energy above the lowest structure with this stoichiometry   55.3 meV per atom

Unit cell a=6.4811 b=6.4811 c=6.4811 alpha=90.00 beta=90.00 gamma=90.00
With the nearest neighbours (Å) after each atom.
Space group F-43m (No. 216)
One atom of each set of equivalent atoms:
Li 0.0000 0.0000 0.0000  4 Ge 2.81, 4 Ag 2.81
Ag 0.2500 0.2500 0.7500  4 Li 2.81, 4 Au 2.81
Ge 0.2500 0.2500 0.2500  4 Li 2.81, 4 Au 2.81
Au 0.0000 0.0000 0.5000  4 Ge 2.81, 4 Ag 2.81